Computed, not measured: a relaxed Sn4IrAu crystal at the PBE level of DFT.

## Properties
spin magnetization	0.0	μB/cell
energy relative to the elements	-0.133	eV per atom
relative energy among the computed polymorphs	7.35	kJ per mole of atoms
SG	No. 55
V	22.9	Å³ per atom

Unit cell a=7.3258 b=7.2656 c=5.1644 alpha=90.00 beta=90.02 gamma=90.00
Last column: nearest neighbours and their distance in Å.
Atoms (fractional coordinates):
Sn  0.3702  0.8537  0.0006  2 Au 2.74-2.91, 1 Sn 2.85, 2 Ir 2.95
Sn  0.3583  0.3453  0.4995  2 Ir 2.71-2.86, 2 Au 3.00
Sn  0.8583  0.1547  0.4995  2 Ir 2.71-2.86, 2 Au 3.00
Sn  0.6298  0.1463  0.9994  2 Au 2.74-2.91, 1 Sn 2.85, 2 Ir 2.95
Sn  0.1298  0.3537  0.9994  2 Au 2.74-2.91, 1 Sn 2.85, 2 Ir 2.95
Sn  0.8702  0.6463  0.0006  2 Au 2.74-2.91, 1 Sn 2.85, 2 Ir 2.95
Au  0.5000  0.5000  0.0000  8 Sn 2.74-3.00
Ir  0.5000  0.0000  0.5000  8 Sn 2.71-2.95
Au  0.0000  0.0000  0.0000  8 Sn 2.74-3.00
Sn  0.6417  0.6547  0.5005  2 Ir 2.71-2.86, 2 Au 3.00
Sn  0.1417  0.8453  0.5005  2 Ir 2.71-2.86, 2 Au 3.00
Ir  0.0000  0.5000  0.5000  8 Sn 2.71-2.95

Computed, not measured: a relaxed LiTl2Pt crystal at the PBE level of DFT.

## Properties
spin magnetization	0.0	μB/cell
energy relative to the elements	-0.156	eV per atom
SG	No. 6
V	21.3	Å³ per atom

Unit cell a=4.2278 b=3.8988 c=5.5845 alpha=67.48 beta=90.00 gamma=90.00
Last column: nearest neighbours and their distance in Å.
Atoms (fractional coordinates):
Li  0.0000  0.7033  0.4815  2 Pt 2.56
Pt  0.5000  0.5491  0.7616  2 Li 2.56
Tl  0.0000  0.9636  0.9232  3 Li 2.89-3.01, 4 Pt 2.99-3.00
Tl  0.5000  0.2840  0.3338  3 Pt 2.94-2.96, 4 Li 2.97-2.98

Computed, not measured: a relaxed PmNdThZr crystal at the PBE level of DFT.

## Properties
spin magnetization	0.0	μB/cell
energy relative to the elements	0.215	eV per atom
SG	No. 216
V	30.2	Å³ per atom

Unit cell a=5.5506 b=5.5506 c=5.5506 alpha=60.00 beta=60.00 gamma=60.00
Last column: nearest neighbours and their distance in Å.
Atoms (fractional coordinates):
Zr  0.2500  0.2500  0.2500  4 Th 3.40, 4 Pm 3.40
Pm  0.5000  0.5000  0.5000  4 Zr 3.40, 4 Nd 3.40
Nd  0.7500  0.7500  0.7500  4 Pm 3.40, 4 Th 3.40
Th  0.0000  0.0000  0.0000  4 Nd 3.40, 4 Zr 3.40